No. 1
# AgMoP2, optimized geometry, DFT PBE
# ΔE_f (eV per atom): 0.35
# Polymorph energy (0 for the lowest one) (kJ/mol of atoms): 40.3
data_AgMoP2
_chemical_formula_sum 'Ag2 Mo2 P4'
_cell_length_a 4.1773
_cell_length_b 4.1773
_cell_length_c 6.9029
_cell_angle_alpha 90.00
_cell_angle_beta 90.00
_cell_angle_gamma 90.00
_space_group_name_H-M_alt 'I 4/m m m'
_space_group_IT_number 139
_space_group_name_Hall '-I 4 2'
loop_
_atom_site_label
_atom_site_type_symbol
_atom_site_fract_x
_atom_site_fract_y
_atom_site_fract_z
Ag1 Ag 0.0000 0.0000 0.0000
Mo1 Mo 0.0000 0.0000 0.5000
P1 P 0.0000 0.5000 0.2500

---

No. 2
# Ac12TbIr7, optimized geometry, DFT PBE
# ΔE_f (eV per atom): -0.57
data_Ac12TbIr7
_chemical_formula_sum 'Ac36 Tb3 Ir21'
_cell_length_a 15.4540
_cell_length_b 15.4540
_cell_length_c 10.5301
_cell_angle_alpha 90.00
_cell_angle_beta 90.00
_cell_angle_gamma 120.00
_space_group_name_H-M_alt 'R -3'
_space_group_IT_number 148
_space_group_name_Hall '-R 3'
loop_
_atom_site_label
_atom_site_type_symbol
_atom_site_fract_x
_atom_site_fract_y
_atom_site_fract_z
Ac1 Ac 0.0259 0.5838 0.1588
Ac2 Ac 0.0452 0.1673 0.8233
Tb1 Tb 0.0000 0.0000 0.5000
Ir1 Ir 0.0000 0.0000 0.0000
Ir2 Ir 0.0454 0.1810 0.3389

---

No. 3
# Rb5Na2Au4, optimized geometry, DFT PBE
# ΔE_f (eV per atom): -0.18
data_Rb5Na2Au4
_chemical_formula_sum 'Rb10 Na4 Au8'
_cell_length_a 16.9285
_cell_length_b 5.7596
_cell_length_c 9.6495
_cell_angle_alpha 90.00
_cell_angle_beta 94.08
_cell_angle_gamma 90.00
_space_group_name_H-M_alt 'C 1 2/m 1'
_space_group_IT_number 12
_space_group_name_Hall '-C 2y'
loop_
_atom_site_label
_atom_site_type_symbol
_atom_site_fract_x
_atom_site_fract_y
_atom_site_fract_z
Rb1 Rb 0.0000 0.0000 0.0000
Rb2 Rb 0.1483 0.5000 0.5116
Rb3 Rb 0.1655 0.5000 0.0320
Na1 Na 0.0164 0.0000 0.3418
Au1 Au 0.0043 0.5000 0.7700
Au2 Au 0.1804 0.0000 0.2408

---

No. 4
# TaInTe2, optimized geometry, DFT PBE
# Raw formation energy (eV per atom): -0.164
data_TaInTe2
_chemical_formula_sum 'Ta3 In3 Te6'
_cell_length_a 3.5985
_cell_length_b 3.5985
_cell_length_c 29.8242
_cell_angle_alpha 90.00
_cell_angle_beta 90.00
_cell_angle_gamma 120.00
_space_group_name_H-M_alt 'R -3 m'
_space_group_IT_number 166
_space_group_name_Hall '-R 3 2"'
loop_
_atom_site_label
_atom_site_type_symbol
_atom_site_fract_x
_atom_site_fract_y
_atom_site_fract_z
Ta1 Ta 0.0000 0.0000 0.0000
In1 In 0.0000 0.0000 0.5000
Te1 Te 0.0000 0.0000 0.2701

---

No. 5
# Tb3YIr, optimized geometry, DFT PBE
# ΔE_f (eV per atom): -0.24
# Polymorph energy (0 for the lowest one) (kJ/mol of atoms): 8.4
data_Tb3YIr
_chemical_formula_sum 'Tb3 Y1 Ir1'
_cell_length_a 5.4527
_cell_length_b 5.4527
_cell_length_c 5.4527
_cell_angle_alpha 90.00
_cell_angle_beta 90.00
_cell_angle_gamma 90.00
_space_group_name_H-M_alt 'P m -3 m'
_space_group_IT_number 221
_space_group_name_Hall '-P 4 2 3'
loop_
_atom_site_label
_atom_site_type_symbol
_atom_site_fract_x
_atom_site_fract_y
_atom_site_fract_z
Tb1 Tb 0.0000 0.0000 0.5000
Y1 Y 0.5000 0.5000 0.5000
Ir1 Ir 0.0000 0.0000 0.0000

---

No. 6
# NbBrN2F, optimized geometry, DFT PBE
# Raw formation energy (eV per atom): 1.639
# Polymorph energy (0 for the lowest one) (kJ/mol of atoms): 162.1
data_NbBrN2F
_chemical_formula_sum 'Nb1 Br1 N2 F1'
_cell_length_a 4.1710
_cell_length_b 4.1710
_cell_length_c 3.9227
_cell_angle_alpha 90.00
_cell_angle_beta 90.00
_cell_angle_gamma 90.00
_space_group_name_H-M_alt 'P 4/m m m'
_space_group_IT_number 123
_space_group_name_Hall '-P 4 2'
loop_
_atom_site_label
_atom_site_type_symbol
_atom_site_fract_x
_atom_site_fract_y
_atom_site_fract_z
Nb1 Nb 0.0000 0.0000 0.0000
Br1 Br 0.5000 0.5000 0.5000
N1 N 0.0000 0.5000 0.5000
F1 F 0.5000 0.5000 0.0000

---

No. 7
# K2ThIrO6, optimized geometry, DFT PBE
# Raw formation energy (eV per atom): -1.925
data_K2ThIrO6
_chemical_formula_sum 'K8 Th4 Ir4 O24'
_cell_length_a 8.4910
_cell_length_b 8.4910
_cell_length_c 8.4910
_cell_angle_alpha 90.00
_cell_angle_beta 90.00
_cell_angle_gamma 90.00
_space_group_name_H-M_alt 'F m -3 m'
_space_group_IT_number 225
_space_group_name_Hall '-F 4 2 3'
loop_
_atom_site_label
_atom_site_type_symbol
_atom_site_fract_x
_atom_site_fract_y
_atom_site_fract_z
K1 K 0.2500 0.2500 0.2500
Th1 Th 0.0000 0.0000 0.0000
Ir1 Ir 0.0000 0.0000 0.5000
O1 O 0.0000 0.0000 0.2700

---

No. 8
# LaAg3Ru, optimized geometry, DFT PBE
# ΔE_f (eV per atom): 0.57
# Polymorph energy (0 for the lowest one) (kJ/mol of atoms): 0.0
data_LaAg3Ru
_chemical_formula_sum 'La1 Ag3 Ru1'
_cell_length_a 5.0321
_cell_length_b 5.0321
_cell_length_c 5.0321
_cell_angle_alpha 90.00
_cell_angle_beta 90.00
_cell_angle_gamma 90.00
_space_group_name_H-M_alt 'P m -3 m'
_space_group_IT_number 221
_space_group_name_Hall '-P 4 2 3'
loop_
_atom_site_label
_atom_site_type_symbol
_atom_site_fract_x
_atom_site_fract_y
_atom_site_fract_z
La1 La 0.0000 0.0000 0.0000
Ag1 Ag 0.0000 0.5000 0.5000
Ru1 Ru 0.5000 0.5000 0.5000

---

| no. | electronic total energy (eV per atom) | calculated density (Mg/m³) |
| --- | --- | --- |
| 1 | -5.771 | 7.3 |
| 2 | -6.368 | 9.7 |
| 3 | -2.047 | 4.5 |
| 4 | -5.383 | 8.2 |
| 5 | -6.081 | 7.8 |
| 6 | -4.414 | 5.3 |
| 7 | -6.748 | 6.5 |
| 8 | -3.979 | 7.3 |